First-principles (GGA-PBE) data for a relaxed MgZrH4 crystal, as listed in Alexandria via LeMat-Bulk.

* space-group type: P4/mmm
* uncorrected energy: -4.2790 eV/atom
* volume: 53.2 Å³ per cell
* density of states at the Fermi level: 0.222 states/eV per atom

abc: 3.2974 3.2974 4.8947
angles: 90.03 90.03 90.00
Element x y z (fractional)
Mg (0.5000, 0.0000, 0.0000)
Zr (0.0000, 0.5000, 0.5000)
H (0.4997, 0.4999, 0.2463)
H (0.9999, 0.9997, 0.2463)
H (0.0001, 0.0003, 0.7537)
H (0.5003, 0.5001, 0.7537)